Entry from the Alexandria database: a relaxed PaFeAgO6 crystal (GGA+U).

The structure belongs to space group P312 (No. 149); the cell edges are 5.2502, 5.2502 and 4.8395 Å and the angles 90.00°, 90.00° and 120.00°. The asymmetric unit holds Pa at (0.0000, 0.0000, 0.0000), Fe at (0.6667, 0.3333, 0.5000), Ag at (0.3333, 0.6667, 0.5000) and O at (0.3460, 0.0143, 0.7362).

The electronic total energy is -62.4 eV/f.u.